TbSmPd: optimized geometry, PBE.

Geometry as POSCAR:
```
TbSmPd
1.0
-3.5216 1.4092 -3.3900
-0.2833 -4.7576 -1.6834
-4.3005 1.1867 4.9583
Sm Tb Pd
2 2 2
Cartesian
-1.9616 -2.2797 -0.8153
-6.1437 0.1181 0.7002
-3.6792 0.7794 -1.5836
-4.4261 -2.9411 1.4685
-3.1595 -0.2559 1.2549
-4.9459 -1.9058 -1.3700
```

Computed properties:
Its formation enthalpy at 0 K is -1.52 eV per formula unit. The density of states at the Fermi level comes out at 6.64 states/eV per cell. Its energy above the lowest structure with this stoichiometry is 0.006 eV per atom.